This record from Alexandria describes crystalline MgPbC2I at its relaxed geometry. The functional is PBE-GGA.

The structure in POSCAR format:
```
MgPbC2I
1.0
4.458 0.000 0.000
0.000 4.458 0.000
0.000 0.000 7.289
Mg Pb C I
1 1 2 1
direct
0.000 0.000 0.000 Mg
0.500 0.500 0.500 Pb
0.000 0.500 0.500 C
0.500 0.000 0.500 C
0.500 0.500 0.000 I
```

Properties
Spin magnetization, μB per formula unit: 1.205
DFT total energy, eV/atom: -2.9234
E_form (uncorrected), eV/atom: 2.1368
Calculated density, g/cm³: 4.384
Space-group type: P4/mmm